Entry 1:
# Mg5Tl2Sn (PBE-GGA, optimized geometry)
data_Mg5Tl2Sn
_symmetry_space_group_name_H-M 'I m m m'
_symmetry_Int_Tables_number 71
_symmetry_space_group_name_Hall '-I 2 2'
_cell_length_a 6.556
_cell_length_b 6.678
_cell_length_c 8.728
_cell_angle_alpha 90.00
_cell_angle_beta 90.00
_cell_angle_gamma 90.00
loop_
_atom_site_label
_atom_site_type_symbol
_atom_site_fract_x
_atom_site_fract_y
_atom_site_fract_z
Mg1 Mg 0.000 0.000 0.000
Mg2 Mg 0.250 0.250 0.250
Tl1 Tl 0.000 0.000 0.500
Tl2 Tl 0.000 0.500 0.000
Sn1 Sn 0.000 0.500 0.500
# ΔE_f: -0.058 eV per atom
# D(E_F): 3.26 states/eV/f.u.

=====

Entry 2:
# CaZr2Re2 (PBE-GGA, optimized geometry)
data_CaZr2Re2
_symmetry_space_group_name_H-M 'P 4/m b m'
_symmetry_Int_Tables_number 127
_symmetry_space_group_name_Hall '-P 4 2ab'
_cell_length_a 8.019
_cell_length_b 8.019
_cell_length_c 3.241
_cell_angle_alpha 90.00
_cell_angle_beta 90.00
_cell_angle_gamma 90.00
loop_
_atom_site_label
_atom_site_type_symbol
_atom_site_fract_x
_atom_site_fract_y
_atom_site_fract_z
Ca1 Ca 0.000 0.000 0.000
Zr1 Zr 0.146 0.354 0.500
Re1 Re 0.143 0.643 0.000
# ΔE_f: 0.209 eV per atom
# D(E_F): 4.35 states/eV/f.u.

=====

Entry 3:
# Er5CoPd4 (PBE-GGA, optimized geometry)
data_Er5CoPd4
_symmetry_space_group_name_H-M 'P 4/m m m'
_symmetry_Int_Tables_number 123
_symmetry_space_group_name_Hall '-P 4 2'
_cell_length_a 3.395
_cell_length_b 3.395
_cell_length_c 17.697
_cell_angle_alpha 90.00
_cell_angle_beta 90.00
_cell_angle_gamma 90.00
loop_
_atom_site_label
_atom_site_type_symbol
_atom_site_fract_x
_atom_site_fract_y
_atom_site_fract_z
Er1 Er 0.000 0.000 0.000
Er2 Er 0.000 0.000 0.204
Er3 Er 0.000 0.000 0.408
Co1 Co 0.500 0.500 0.500
Pd1 Pd 0.500 0.500 0.102
Pd2 Pd 0.500 0.500 0.304
# ΔE_f: -0.776 eV per atom
# D(E_F): 5.64 states/eV/f.u.